First-principles (PBE) data for a geometry-optimized SrSiSn structure, as listed in Alexandria.

Output
- DOS at the Fermi energy (states/eV/atom) = 0.1539
- E (Ha/atom) = -0.1496
- SG = R3m (160)
- total moment (Bohr magnetons per cell) = 0.0
- energy relative to the elements, uncorrected (meV per atom) = -367
- ρ (g/cm3) = 4.420

Cell: 4.2633 4.2633 16.7853 Å, 90.00 90.00 120.00°
Atoms (fractional coordinates):
Sr 0.0000 0.0000 0.5193
Sr 0.3333 0.6667 0.1860
Sr 0.6667 0.3333 0.8526
Si 0.0000 0.0000 0.3031
Si 0.3333 0.6667 0.9698
Si 0.6667 0.3333 0.6364
Sn 0.0000 0.0000 0.0360
Sn 0.3333 0.6667 0.7027
Sn 0.6667 0.3333 0.3693